First-principles (GGA-PBE) data for a relaxed structure of Li6Mg5In, as listed in Alexandria.

Values from the calculation:
Electronic total energy = -47.07 eV for the cell shown
Spin magnetization = 0.00 μB/cell

Lattice parameters (Å, degrees): 4.7994 6.8885 14.3157 90.00 90.00 90.00
Space group Immm (No. 71)
Symmetry-distinct sites (fractional):
Li  0.0000  0.2397  0.0000
Li  0.0000  0.2543  0.3357
Mg  0.0000  0.0000  0.1685
Mg  0.0000  0.0000  0.5000
Mg  0.0000  0.5000  0.1651
In  0.0000  0.5000  0.5000